# SiSeBr2

An optimized crystal structure of SiSeBr2 (PBE-GGA, Alexandria).

Lattice parameters (Å, degrees): 6.618 6.618 6.618 151.41 114.36 73.11
Sites, in units of the cell vectors:
Si1 0.000 0.000 0.000
Se1 0.849 0.349 0.500
Br1 0.182 0.682 0.500
Br2 0.526 0.526 0.000

Computed properties:
E_form (uncorrected) = 0.03 eV per atom
energy above the lowest structure with this stoichiometry = 166 meV per atom
M_tot = 0.3 Bohr magnetons per cell